1.
Density functional theory data (PBE) for crystalline PaCr2Re at its relaxed geometry.

POSCAR file:
```
PaCr2Re
1.0
-2.182 -1.916 0.683
2.023 -1.939 1.024
-0.519 2.943 6.599
Re Pa Cr
1 1 2
Cartesian
-0.080 -1.927 0.853 Re
-0.339 -0.456 4.153 Pa
-0.414 2.350 5.270 Cr
-0.105 0.593 1.329 Cr
```

Output
Relative energy among the computed polymorphs (meV per atom): 0.0
Energy of formation (eV/atom): 0.159
Density of states at the Fermi level (states/eV/f.u.): 5.08

2.
Density functional theory data (PBE) for crystalline BaAc12La3 at its relaxed geometry.

POSCAR file:
```
BaAc12La3
1.0
5.612 0.000 0.000
0.000 5.612 0.000
0.000 0.000 22.438
Ba Ac La
1 12 3
Cartesian
0.000 0.000 0.000 Ba
2.806 2.806 0.000 Ac
2.806 2.806 5.709 Ac
2.806 2.806 11.219 Ac
2.806 2.806 16.730 Ac
2.806 0.000 2.992 Ac
2.806 0.000 8.467 Ac
2.806 0.000 13.971 Ac
2.806 0.000 19.447 Ac
0.000 2.806 2.992 Ac
0.000 2.806 8.467 Ac
0.000 2.806 13.971 Ac
0.000 2.806 19.447 Ac
0.000 0.000 5.695 La
0.000 0.000 11.219 La
0.000 0.000 16.743 La
```

Output
Energy of formation (eV/atom): 0.034
Density of states at the Fermi level (states/eV/f.u.): 29.79

3.
Density functional theory data (PBE) for crystalline Er2Tm3Mg8 at its relaxed geometry.

POSCAR file:
```
Er2Tm3Mg8
1.0
5.816 0.000 0.000
2.908 5.037 0.000
2.908 1.679 12.199
Er Tm Mg
2 3 8
Cartesian
5.816 3.358 0.973 Er
5.816 3.358 11.227 Er
0.000 0.000 0.000 Tm
8.725 5.037 6.709 Tm
2.908 1.679 5.490 Tm
8.725 5.037 10.053 Mg
2.908 1.679 2.146 Mg
4.360 4.199 3.799 Mg
5.816 1.676 3.799 Mg
7.273 4.199 3.799 Mg
5.816 5.040 8.400 Mg
7.273 2.517 8.400 Mg
4.360 2.517 8.400 Mg
```

Output
Energy of formation (eV/atom): 0.138
Density of states at the Fermi level (states/eV/f.u.): 13.73

Q: What is the formula in the second record?
A: BaAc12La3